# ZrPd2Pt5

A relaxed ZrPd2Pt5 crystal (PBE-GGA, Alexandria).

Cell: 4.897 4.897 6.961 Å, 117.96 117.96 70.55°
Fractional positions:
Zr 0.000 0.000 0.000
Pd 0.252 0.252 0.505
Pd 0.748 0.748 0.495
Pt 0.500 0.500 0.000
Pt 0.626 0.126 0.251
Pt 0.126 0.626 0.251
Pt 0.374 0.874 0.749
Pt 0.874 0.374 0.749

**Polymorph energy (0 for the lowest one)**: 0 kJ/mol of formula units
**Symmetry**: Fmmm (69)
**Calculated formation energy**: -0.5211 eV per atom
**DFT total energy**: -53.306 eV per cell
**Calculated density**: 16490 kg/m³